Entry 1:
# PBE-GGA Sr2ZrRe, relaxed
# DFT formation energy (eV per formula unit): 4.01
# E (eV per atom): -5.087
# Total magnetic moment (μB per formula unit): 0.00
data_Sr2ZrRe
_chemical_formula_sum 'Sr2 Zr1 Re1'
_cell_length_a 3.0400
_cell_length_b 5.4325
_cell_length_c 6.1397
_cell_angle_alpha 90.00
_cell_angle_beta 90.00
_cell_angle_gamma 90.00
_space_group_name_H-M_alt 'P m m m'
_space_group_IT_number 47
_space_group_name_Hall '-P 2 2'
loop_
_atom_site_label
_atom_site_type_symbol
_atom_site_fract_x
_atom_site_fract_y
_atom_site_fract_z
Sr1 Sr 0.0000 0.0000 0.2394
Zr1 Zr 0.5000 0.5000 0.5000
Re1 Re 0.5000 0.5000 0.0000

=====

Entry 2:
# PBE-GGA Sr2ZrRe, relaxed
# DFT formation energy (eV per formula unit): 4.23
# E (eV per atom): -5.031
# Total magnetic moment (μB per formula unit): 0.15
data_Sr2ZrRe
_chemical_formula_sum 'Sr2 Zr1 Re1'
_cell_length_a 3.0662
_cell_length_b 3.0662
_cell_length_c 11.1395
_cell_angle_alpha 90.00
_cell_angle_beta 90.00
_cell_angle_gamma 90.00
_space_group_name_H-M_alt 'P 4/m m m'
_space_group_IT_number 123
_space_group_name_Hall '-P 4 2'
loop_
_atom_site_label
_atom_site_type_symbol
_atom_site_fract_x
_atom_site_fract_y
_atom_site_fract_z
Sr1 Sr 0.0000 0.0000 0.2189
Zr1 Zr 0.5000 0.5000 0.5000
Re1 Re 0.5000 0.5000 0.0000

=====

The highest total magnetic moment belongs to which entry? number 2